# In2GaBr2Cl4

A geometry-optimized In2GaBr2Cl4 structure (PBE-GGA, Alexandria).

total DFT energy (no corrections) = -25.76 eV/cell

Cell lengths 7.155, 7.155, 7.155 Å; angles 82.74, 124.27, 124.27 degrees
Atoms (fractional coordinates):
Cl (0.000, 0.755, 0.245)
Cl (0.000, 0.245, 0.755)
Cl (0.511, 0.755, 0.755)
Cl (0.489, 0.245, 0.245)
Br (0.000, 0.248, 0.248)
Br (0.000, 0.752, 0.752)
In (0.500, 0.750, 0.250)
In (0.500, 0.250, 0.750)
Ga (0.000, 0.000, 0.000)

# InGaBrCl

A geometry-optimized InGaBrCl structure (PBE-GGA, Alexandria).

total DFT energy (no corrections) = -11.67 eV/cell

Cell lengths 5.427, 5.427, 5.427 Å; angles 60.00, 60.00, 60.00 degrees
Atoms (fractional coordinates):
Cl (0.750, 0.750, 0.750)
Br (0.250, 0.250, 0.250)
Ga (0.500, 0.500, 0.500)
In (0.000, 0.000, 0.000)

# In5GaBr4Cl2

A geometry-optimized In5GaBr4Cl2 structure (PBE-GGA, Alexandria).

total DFT energy (no corrections) = -34.62 eV/cell

Cell lengths 8.028, 7.058, 9.631 Å; angles 90.00, 90.00, 124.66 degrees
Atoms (fractional coordinates):
In (0.413, 0.000, 0.500)
In (0.117, 0.443, 0.256)
In (0.674, 0.557, 0.256)
In (0.674, 0.557, 0.744)
In (0.117, 0.443, 0.744)
Br (0.335, 0.352, 0.000)
Br (0.983, 0.648, 0.000)
Br (0.683, 0.000, 0.246)
Br (0.683, 0.000, 0.754)
Ga (0.427, 0.000, 0.000)
Cl (0.335, 0.373, 0.500)
Cl (0.962, 0.627, 0.500)

# InGaBrCl

A geometry-optimized InGaBrCl structure (PBE-GGA, Alexandria).

total DFT energy (no corrections) = -23.69 eV/cell

Cell lengths 5.319, 5.319, 12.000 Å; angles 77.19, 77.19, 60.00 degrees
Atoms (fractional coordinates):
Br (0.124, 0.124, 0.628)
Br (0.876, 0.876, 0.372)
In (0.383, 0.383, 0.850)
In (0.617, 0.617, 0.150)
Ga (0.210, 0.210, 0.371)
Ga (0.790, 0.790, 0.629)
Cl (0.301, 0.301, 0.097)
Cl (0.699, 0.699, 0.903)

# KGaBrCl

A geometry-optimized KGaBrCl structure (PBE-GGA, Alexandria).

total DFT energy (no corrections) = -12.22 eV/cell

Cell lengths 5.434, 5.434, 5.434 Å; angles 60.00, 60.00, 60.00 degrees
Atoms (fractional coordinates):
K (0.500, 0.500, 0.500)
Br (0.750, 0.750, 0.750)
Cl (0.250, 0.250, 0.250)
Ga (0.000, 0.000, 0.000)

# KGaBrCl

A geometry-optimized KGaBrCl structure (PBE-GGA, Alexandria).

total DFT energy (no corrections) = -12.42 eV/cell

Cell lengths 4.414, 4.414, 8.141 Å; angles 89.97, 105.73, 120.04 degrees
Atoms (fractional coordinates):
K (0.460, 0.129, 0.604)
Br (0.314, 0.555, 0.884)
Ga (0.139, 0.966, 0.121)
Cl (0.965, 0.381, 0.361)

# La8Ga3Br4Cl

A geometry-optimized La8Ga3Br4Cl structure (PBE-GGA, Alexandria).

total DFT energy (no corrections) = -74.59 eV/cell

Cell lengths 8.830, 8.785, 8.830 Å; angles 120.17, 120.00, 90.00 degrees
Atoms (fractional coordinates):
La (0.262, 0.270, 0.016)
La (0.246, 0.730, 0.492)
La (0.744, 0.731, 0.488)
La (0.754, 0.270, 0.016)
La (0.256, 0.269, 0.512)
La (0.246, 0.730, 0.984)
La (0.738, 0.730, 0.984)
La (0.754, 0.270, 0.508)
Br (0.500, 0.000, 0.500)
Br (0.500, 0.000, 0.000)
Br (0.000, 0.000, 0.500)
Br (0.000, 0.000, 0.000)
Cl (0.000, 0.500, 0.000)
Ga (0.500, 0.500, 0.500)
Ga (0.000, 0.500, 0.500)
Ga (0.500, 0.500, 0.000)

# LaGaBrCl2

A geometry-optimized LaGaBrCl2 structure (PBE-GGA, Alexandria).

total DFT energy (no corrections) = -17.93 eV/cell

Cell lengths 4.964, 5.919, 4.964 Å; angles 90.00, 90.00, 90.00 degrees
Atoms (fractional coordinates):
Cl (0.000, 0.000, 0.500)
Cl (0.500, 0.000, 0.000)
Br (0.500, 0.500, 0.500)
Ga (0.000, 0.000, 0.000)
La (0.000, 0.500, 0.000)